(1)
## Sc2SnPb (PBE-GGA)

Data for a relaxed structure of Sc2SnPb.

a b c (Å): 5.148 5.148 5.148
angles (deg): 60.00 60.00 60.00
Sites, in units of the cell vectors:
Pb: 0.500 0.500 0.500
Sc: 0.250 0.250 0.250
Sc: 0.750 0.750 0.750
Sn: 0.000 0.000 0.000

Summary:
**Magnetization**: 0.14 μB/atom
**Theoretical density**: 7.16 g cm⁻³
**N(E_F)**: 1.744 states/eV per atom
**Energy relative to the lowest polymorph listed for this composition**: 0.33 eV per formula unit

---

(2)
## Sc6SnPb (PBE-GGA)

Data for a relaxed structure of Sc6SnPb.

a b c (Å): 4.532 4.532 9.069
angles (deg): 90.00 90.00 90.00
Sites, in units of the cell vectors:
Sc: 0.500 0.500 0.000
Sc: 0.500 0.500 0.500
Sc: 0.500 0.000 0.254
Sc: 0.500 0.000 0.746
Sc: 0.000 0.500 0.254
Sc: 0.000 0.500 0.746
Sn: 0.000 0.000 0.500
Pb: 0.000 0.000 0.000

Summary:
**Magnetization**: 0.53 μB/atom
**Theoretical density**: 5.31 g cm⁻³
**N(E_F)**: 0.963 states/eV per atom
**Energy relative to the lowest polymorph listed for this composition**: 0.00 eV per formula unit

---

(3)
## Sc5Sn2Pb2 (PBE-GGA)

Data for a relaxed structure of Sc5Sn2Pb2.

a b c (Å): 7.729 7.783 8.339
angles (deg): 117.82 90.00 90.00
Sites, in units of the cell vectors:
Sc: 0.000 0.000 0.000
Sc: 0.500 0.500 0.000
Sc: 0.834 0.799 0.266
Sc: 0.166 0.467 0.266
Sc: 0.334 0.967 0.266
Sc: 0.666 0.299 0.266
Sc: 0.166 0.201 0.734
Sc: 0.834 0.533 0.734
Sc: 0.666 0.033 0.734
Sc: 0.334 0.701 0.734
Sn: 0.638 0.862 0.000
Sn: 0.362 0.138 0.000
Sn: 0.138 0.638 0.000
Sn: 0.862 0.362 0.000
Pb: 0.000 0.208 0.417
Pb: 0.500 0.708 0.417
Pb: 0.000 0.792 0.583
Pb: 0.500 0.292 0.583

Summary:
**Magnetization**: 0.00 μB/atom
**Theoretical density**: 6.56 g cm⁻³
**N(E_F)**: 0.495 states/eV per atom

---

(4)
## Sc6SnPb (PBE-GGA)

Data for a relaxed structure of Sc6SnPb.

a b c (Å): 8.072 8.072 5.708
angles (deg): 45.00 45.01 60.01
Sites, in units of the cell vectors:
Sc: 0.000 0.500 0.751
Sc: 0.749 0.000 0.751
Sc: 0.500 0.251 0.249
Sc: 0.251 0.000 0.249
Sc: 0.000 0.500 0.249
Sc: 0.500 0.749 0.751
Sn: 0.500 0.500 0.500
Pb: 0.000 0.000 0.000

Summary:
**Magnetization**: 0.21 μB/atom
**Theoretical density**: 5.32 g cm⁻³
**N(E_F)**: 1.006 states/eV per atom
**Energy relative to the lowest polymorph listed for this composition**: 0.22 eV per formula unit

---

(5)
## ScSnPb (PBE-GGA)

Data for a relaxed structure of ScSnPb.

a b c (Å): 3.305 5.263 5.263
angles (deg): 120.00 90.00 90.00
Sites, in units of the cell vectors:
Pb: 0.919 0.000 0.000
Sc: 0.341 0.333 0.667
Sn: 0.739 0.667 0.333

Summary:
**Magnetization**: 0.00 μB/atom
**Theoretical density**: 7.77 g cm⁻³
**N(E_F)**: 1.057 states/eV per atom
**Energy relative to the lowest polymorph listed for this composition**: 0.00 eV per formula unit

---

(6)
## ScSnPb (PBE-GGA)

Data for a relaxed structure of ScSnPb.

a b c (Å): 5.726 3.247 9.489
angles (deg): 99.85 107.56 90.00
Sites, in units of the cell vectors:
Sn: 0.664 0.164 0.329
Sn: 0.336 0.836 0.671
Pb: 0.751 0.500 0.000
Pb: 0.249 0.500 0.000
Sc: 0.169 0.669 0.337
Sc: 0.831 0.331 0.663

Summary:
**Magnetization**: 0.00 μB/atom
**Theoretical density**: 7.44 g cm⁻³
**N(E_F)**: 1.130 states/eV per atom
**Energy relative to the lowest polymorph listed for this composition**: 0.32 eV per formula unit

---

(7)
## ScSnPb2 (PBE-GGA)

Data for a relaxed structure of ScSnPb2.

a b c (Å): 3.405 3.405 11.953
angles (deg): 81.81 81.81 60.00
Sites, in units of the cell vectors:
Pb: 0.085 0.085 0.744
Pb: 0.915 0.915 0.256
Sc: 0.000 0.000 0.000
Sn: 0.500 0.500 0.500

Summary:
**Magnetization**: 0.00 μB/atom
**Theoretical density**: 8.11 g cm⁻³
**N(E_F)**: 0.857 states/eV per atom

---

(8)
## Sc2SnPb (PBE-GGA)

Data for a relaxed structure of Sc2SnPb.

a b c (Å): 4.551 4.551 6.610
angles (deg): 69.86 69.86 60.00
Sites, in units of the cell vectors:
Sc: 0.076 0.076 0.772
Sc: 0.260 0.260 0.221
Sn: 0.667 0.667 0.999
Pb: 0.497 0.497 0.508

Summary:
**Magnetization**: 0.00 μB/atom
**Theoretical density**: 6.35 g cm⁻³
**N(E_F)**: 0.562 states/eV per atom
**Energy relative to the lowest polymorph listed for this composition**: 0.31 eV per formula unit

---

(9)
## Sc5SnPb (PBE-GGA)

Data for a relaxed structure of Sc5SnPb.

a b c (Å): 5.809 5.809 10.454
angles (deg): 99.57 99.57 90.30
Sites, in units of the cell vectors:
Sc: 0.994 0.596 0.168
Sc: 0.240 0.516 0.471
Sc: 0.596 0.994 0.668
Sc: 0.858 0.142 0.250
Sc: 0.484 0.760 0.029
Sc: 0.516 0.240 0.971
Sc: 0.142 0.858 0.750
Sc: 0.404 0.006 0.332
Sc: 0.760 0.484 0.529
Sc: 0.006 0.404 0.832
Sn: 0.504 0.496 0.250
Sn: 0.496 0.504 0.750
Pb: 0.000 0.000 0.000
Pb: 0.000 0.000 0.500

Summary:
**Magnetization**: 0.00 μB/atom
**Theoretical density**: 5.34 g cm⁻³
**N(E_F)**: 1.304 states/eV per atom

---

(10)
## Sc2SnPb (PBE-GGA)

Data for a relaxed structure of Sc2SnPb.

a b c (Å): 4.285 4.703 4.703
angles (deg): 90.00 90.00 90.00
Sites, in units of the cell vectors:
Pb: 0.500 0.500 0.500
Sc: 0.000 0.000 0.500
Sc: 0.000 0.500 0.000
Sn: 0.500 0.000 0.000

Summary:
**Magnetization**: 0.26 μB/atom
**Theoretical density**: 7.28 g cm⁻³
**N(E_F)**: 0.895 states/eV per atom
**Energy relative to the lowest polymorph listed for this composition**: 0.05 eV per formula unit

---

(11)
## Sc7Sn2Pb2 (PBE-GGA)

Data for a relaxed structure of Sc7Sn2Pb2.

a b c (Å): 6.598 7.021 6.598
angles (deg): 90.00 103.79 90.00
Sites, in units of the cell vectors:
Sc: 0.000 0.288 0.500
Sc: 0.500 0.712 0.000
Sc: 0.000 0.712 0.500
Sc: 0.500 0.288 0.000
Sc: 0.000 0.000 0.000
Sc: 0.500 0.725 0.500
Sc: 0.500 0.275 0.500
Sn: 0.818 0.500 0.818
Sn: 0.182 0.500 0.182
Pb: 0.713 0.000 0.287
Pb: 0.287 0.000 0.713

Summary:
**Magnetization**: 0.26 μB/atom
**Theoretical density**: 5.41 g cm⁻³
**N(E_F)**: 1.160 states/eV per atom

---

(12)
## Sc2SnPb (PBE-GGA)

Data for a relaxed structure of Sc2SnPb.

a b c (Å): 3.327 3.327 8.579
angles (deg): 90.00 90.00 90.00
Sites, in units of the cell vectors:
Pb: 0.500 0.500 0.500
Sc: 0.000 0.000 0.761
Sc: 0.000 0.000 0.239
Sn: 0.500 0.500 0.000

Summary:
**Magnetization**: 0.24 μB/atom
**Theoretical density**: 7.27 g cm⁻³
**N(E_F)**: 0.973 states/eV per atom
**Energy relative to the lowest polymorph listed for this composition**: 0.00 eV per formula unit

---

no.,DFT formation energy (eV/atom)
1,-0.346
2,-0.359
3,-0.559
4,-0.332
5,-0.104
6,0.002
7,0.173
8,-0.352
9,-0.237
10,-0.416
11,-0.135
12,-0.429